# GGA-PBE SnPdSO, relaxed
data_SnPdSO
_cell_length_a 5.738
_cell_length_b 3.326
_cell_length_c 15.033
_cell_angle_alpha 90.00
_cell_angle_beta 90.00
_cell_angle_gamma 90.00
_symmetry_space_group_name_H-M 'P 1'
_symmetry_Int_Tables_number 1
loop_
_symmetry_equiv_pos_as_xyz
'x,y,z'
loop_
_atom_site_label
_atom_site_type_symbol
_atom_site_fract_x
_atom_site_fract_y
_atom_site_fract_z
O1 O 0.231 0.500 0.150
O2 O 0.731 0.500 0.350
O3 O 0.269 0.000 0.650
O4 O 0.769 0.000 0.850
Pd1 Pd 0.731 0.500 0.206
Pd2 Pd 0.231 0.500 0.294
Pd3 Pd 0.769 0.000 0.706
Pd4 Pd 0.269 0.000 0.794
S1 S 0.734 0.000 0.100
S2 S 0.234 0.000 0.400
S3 S 0.766 0.500 0.600
S4 S 0.266 0.500 0.900
Sn1 Sn 0.240 0.000 0.067
Sn2 Sn 0.740 0.000 0.433
Sn3 Sn 0.260 0.500 0.567
Sn4 Sn 0.760 0.500 0.933
# SG: No. 62



# GGA-PBE SnPdSO, relaxed
data_SnPdSO
_cell_length_a 7.311
_cell_length_b 7.311
_cell_length_c 5.499
_cell_angle_alpha 90.00
_cell_angle_beta 90.00
_cell_angle_gamma 26.14
_symmetry_space_group_name_H-M 'P 1'
_symmetry_Int_Tables_number 1
loop_
_symmetry_equiv_pos_as_xyz
'x,y,z'
loop_
_atom_site_label
_atom_site_type_symbol
_atom_site_fract_x
_atom_site_fract_y
_atom_site_fract_z
O1 O 0.000 0.000 0.000
O2 O 0.000 0.000 0.500
Pd1 Pd 0.832 0.832 0.250
Pd2 Pd 0.168 0.168 0.750
S1 S 0.215 0.215 0.250
S2 S 0.785 0.785 0.750
Sn1 Sn 0.565 0.565 0.250
Sn2 Sn 0.435 0.435 0.750
# SG: No. 63



# GGA-PBE SnPdSO, relaxed
data_SnPdSO
_cell_length_a 7.164
_cell_length_b 6.544
_cell_length_c 6.048
_cell_angle_alpha 90.00
_cell_angle_beta 90.00
_cell_angle_gamma 90.00
_symmetry_space_group_name_H-M 'P 1'
_symmetry_Int_Tables_number 1
loop_
_symmetry_equiv_pos_as_xyz
'x,y,z'
loop_
_atom_site_label
_atom_site_type_symbol
_atom_site_fract_x
_atom_site_fract_y
_atom_site_fract_z
O1 O 0.414 0.520 0.245
O2 O 0.586 0.020 0.255
O3 O 0.086 0.480 0.745
O4 O 0.914 0.980 0.755
Pd1 Pd 0.504 0.265 0.021
Pd2 Pd 0.496 0.765 0.479
Pd3 Pd 0.996 0.735 0.521
Pd4 Pd 0.004 0.235 0.979
S1 S 0.953 0.496 0.236
S2 S 0.047 0.996 0.264
S3 S 0.547 0.504 0.736
S4 S 0.453 0.004 0.764
Sn1 Sn 0.740 0.831 0.008
Sn2 Sn 0.260 0.331 0.492
Sn3 Sn 0.760 0.169 0.508
Sn4 Sn 0.240 0.669 0.992
# SG: No. 19



# GGA-PBE SnPdSO, relaxed
data_SnPdSO
_cell_length_a 6.012
_cell_length_b 8.539
_cell_length_c 5.598
_cell_angle_alpha 90.00
_cell_angle_beta 90.00
_cell_angle_gamma 90.00
_symmetry_space_group_name_H-M 'P 1'
_symmetry_Int_Tables_number 1
loop_
_symmetry_equiv_pos_as_xyz
'x,y,z'
loop_
_atom_site_label
_atom_site_type_symbol
_atom_site_fract_x
_atom_site_fract_y
_atom_site_fract_z
O1 O 0.965 0.066 0.237
O2 O 0.465 0.934 0.237
O3 O 0.535 0.066 0.737
O4 O 0.035 0.934 0.737
Pd1 Pd 0.481 0.152 0.087
Pd2 Pd 0.981 0.848 0.087
Pd3 Pd 0.019 0.152 0.587
Pd4 Pd 0.519 0.848 0.587
S1 S 0.943 0.390 0.413
S2 S 0.443 0.610 0.413
S3 S 0.557 0.390 0.913
S4 S 0.057 0.610 0.913
Sn1 Sn 0.965 0.259 0.012
Sn2 Sn 0.465 0.741 0.012
Sn3 Sn 0.535 0.259 0.512
Sn4 Sn 0.035 0.741 0.512
# SG: No. 29



Energy relative to the lowest polymorph listed for this composition for the records above, in order: 221; 343; 237; 200 meV per atom